--- w ---
# NiSnBi3

NiSnBi3 after structural relaxation (PBE-GGA, Alexandria).

The structure in POSCAR format:
```
NiSnBi3
1.0
5.7527 0.0000 0.0000
0.0000 5.7527 0.0000
0.0000 0.0000 5.7527
Sn Ni Bi
1 1 3
direct
0.0000 0.0000 0.0000
0.5000 0.5000 0.5000
0.5000 0.0000 0.0000
0.0000 0.5000 0.0000
0.0000 0.0000 0.5000
```

Output
- theoretical density (g cm⁻³) = 7.0
- SG = No. 221
- magnetization (μB per formula unit) = 0.00
- density of states at the Fermi level (states/eV/f.u.) = 7.54


--- x ---
# NiSnBi3

NiSnBi3 after structural relaxation (PBE-GGA, Alexandria).

The structure in POSCAR format:
```
NiSnBi3
1.0
-3.1788 -1.7444 3.7709
0.3022 -4.8325 -1.9807
4.1438 -0.9857 3.0372
Bi Sn Ni
3 1 1
direct
0.0000 0.0000 0.5000
0.5000 0.0000 0.0000
0.0000 0.5000 0.0000
0.5000 0.5000 0.5000
0.0000 0.0000 0.0000
```

Output
- theoretical density (g cm⁻³) = 9.3
- SG = No. 221
- magnetization (μB per formula unit) = 0.00
- density of states at the Fermi level (states/eV/f.u.) = 3.51


--- y ---
# NiSnBi3

NiSnBi3 after structural relaxation (PBE-GGA, Alexandria).

The structure in POSCAR format:
```
NiSnBi3
1.0
-0.9752 4.7277 4.4200
-1.8934 -8.3733 4.1306
9.1772 -2.5355 0.3290
Bi Ni Sn
12 4 4
direct
0.0351 0.6578 0.5857
0.4547 0.9126 0.8394
0.4649 0.4143 0.3422
0.6935 0.3477 0.9156
0.5351 0.5857 0.6578
0.1935 0.9156 0.3477
0.8065 0.0844 0.6523
0.9649 0.3422 0.4143
0.5453 0.0874 0.1606
0.3065 0.6523 0.0844
0.0453 0.1606 0.0874
0.9547 0.8394 0.9126
0.2500 0.1267 0.8733
0.7500 0.8733 0.1267
0.2500 0.6283 0.3717
0.7500 0.3717 0.6283
0.6708 0.8244 0.3939
0.3292 0.1756 0.6061
0.8292 0.6061 0.1756
0.1708 0.3939 0.8244
```

Output
- theoretical density (g cm⁻³) = 10.0
- SG = No. 15
- magnetization (μB per formula unit) = 0.00
- density of states at the Fermi level (states/eV/f.u.) = 2.83


Q: Which of them is the least stable? A: w.


--- w ---
# Ni2SnBi2

Ni2SnBi2 after structural relaxation (PBE-GGA, Alexandria).

The structure in POSCAR format:
```
Ni2SnBi2
1.0
7.1345 0.0000 0.0000
0.0000 7.1345 0.0000
0.0000 0.0000 4.0820
Bi Ni Sn
4 4 2
direct
0.8352 0.3352 0.5000
0.6648 0.8352 0.5000
0.3352 0.1648 0.5000
0.1648 0.6648 0.5000
0.3713 0.8713 0.0000
0.1287 0.3713 0.0000
0.8713 0.6287 0.0000
0.6287 0.1287 0.0000
0.0000 0.0000 0.0000
0.5000 0.5000 0.0000
```

Output
- theoretical density (g cm⁻³) = 10.5
- SG = No. 127
- magnetization (μB per formula unit) = 0.00
- density of states at the Fermi level (states/eV/f.u.) = 2.82


--- x ---
# Ni2SnBi2

Ni2SnBi2 after structural relaxation (PBE-GGA, Alexandria).

The structure in POSCAR format:
```
Ni2SnBi2
1.0
4.8000 0.0000 0.0000
0.0000 4.8000 0.0000
2.4000 2.4000 4.9797
Ni Bi Sn
2 2 1
direct
0.3813 0.3813 0.2373
0.6187 0.6187 0.7627
0.7500 0.2500 0.5000
0.2500 0.7500 0.5000
0.0000 0.0000 0.0000
```

Output
- theoretical density (g cm⁻³) = 9.5
- SG = No. 139
- magnetization (μB per formula unit) = 0.00
- density of states at the Fermi level (states/eV/f.u.) = 2.30


Q: Which of them is the least stable? A: x.


--- w ---
# Ni2SnBi

Ni2SnBi after structural relaxation (PBE-GGA, Alexandria).

The structure in POSCAR format:
```
Ni2SnBi
1.0
6.9136 0.0000 0.0000
0.0000 6.9136 0.0000
3.4568 3.4568 3.4353
Sn Ni Bi
2 4 2
direct
0.2500 0.7500 0.5000
0.5000 0.5000 0.0000
0.3750 0.3875 0.7500
0.8750 0.8625 0.7500
0.1375 0.6250 0.2500
0.6125 0.1250 0.2500
0.0000 0.0000 0.0000
0.7500 0.2500 0.5000
```

Output
- theoretical density (g cm⁻³) = 9.0
- SG = No. 122
- magnetization (μB per formula unit) = 0.00
- density of states at the Fermi level (states/eV/f.u.) = 2.21


--- x ---
# Ni2SnBi

Ni2SnBi after structural relaxation (PBE-GGA, Alexandria).

The structure in POSCAR format:
```
Ni2SnBi
1.0
0.0000 3.3061 3.3061
3.3061 0.0000 3.3061
3.3061 3.3061 0.0000
Ni Bi Sn
2 1 1
direct
0.2500 0.2500 0.2500
0.7500 0.7500 0.7500
0.5000 0.5000 0.5000
0.0000 0.0000 0.0000
```

Output
- theoretical density (g cm⁻³) = 10.2
- SG = No. 225
- magnetization (μB per formula unit) = 0.00
- density of states at the Fermi level (states/eV/f.u.) = 3.64


Q: Which of them is the least stable? A: w.